Computed, not measured: crystalline Rb2MnSnF6 at its relaxed geometry at the GGA+U level of DFT.

Values from the calculation:
- Total moment: 5.00 μB/f.u.
- SG: No. 225
- Raw total energy: -50.71 eV per cell

Cell lengths 6.397, 6.397, 6.399 Å; angles 60.01, 60.01, 90.00 degrees
Element x y z (fractional)
F (0.737, 0.737, 0.000)
F (0.737, 0.737, 0.526)
F (0.263, 0.263, 0.000)
F (0.263, 0.737, 0.000)
F (0.737, 0.263, 0.000)
F (0.263, 0.263, 0.474)
Rb (0.750, 0.250, 0.500)
Rb (0.250, 0.750, 0.500)
Sn (0.000, 0.000, 0.000)
Mn (0.500, 0.500, 0.000)